Entry 1:
First-principles (GGA-PBE) data for an optimized crystal structure of Ca3LaPt8, as listed in the Alexandria database.

Lattice parameters (Å, degrees): 5.482 5.482 9.006 90.00 90.00 120.00
Sites, in units of the cell vectors:
Ca  0.000  0.000  0.000
Ca  0.000  0.000  0.362
Ca  0.333  0.667  0.882
La  0.333  0.667  0.507
Pt  0.004  0.502  0.187
Pt  0.329  0.164  0.688
Pt  0.498  0.502  0.187
Pt  0.498  0.996  0.187
Pt  0.667  0.333  0.437
Pt  0.667  0.333  0.938
Pt  0.836  0.164  0.688
Pt  0.836  0.671  0.688

## Properties
* energy of formation from the pure elements: -940 meV/atom

Entry 2:
First-principles (GGA-PBE) data for an optimized crystal structure of Si3Pt5S12, as listed in the Alexandria database.

Lattice parameters (Å, degrees): 12.692 12.692 12.692 109.47 109.47 109.47
Sites, in units of the cell vectors:
Si  0.125  0.250  0.375
Si  0.125  0.375  0.750
Si  0.250  0.375  0.125
Si  0.250  0.875  0.625
Si  0.375  0.125  0.250
Si  0.375  0.750  0.125
Si  0.625  0.250  0.875
Si  0.625  0.875  0.750
Si  0.750  0.125  0.375
Si  0.750  0.625  0.875
Si  0.875  0.625  0.250
Si  0.875  0.750  0.625
Pt  0.000  0.000  0.000
Pt  0.000  0.000  0.500
Pt  0.000  0.500  0.000
Pt  0.000  0.500  0.500
Pt  0.125  0.750  0.875
Pt  0.125  0.875  0.250
Pt  0.250  0.125  0.875
Pt  0.250  0.625  0.375
Pt  0.375  0.250  0.625
Pt  0.375  0.625  0.750
Pt  0.500  0.000  0.000
Pt  0.500  0.000  0.500
Pt  0.500  0.500  0.000
Pt  0.500  0.500  0.500
Pt  0.625  0.375  0.250
Pt  0.625  0.750  0.375
Pt  0.750  0.375  0.625
Pt  0.750  0.875  0.125
Pt  0.875  0.125  0.750
Pt  0.875  0.250  0.125
S  0.037  0.203  0.151
S  0.037  0.334  0.886
S  0.052  0.703  0.666
S  0.052  0.849  0.386
S  0.114  0.651  0.448
S  0.114  0.963  0.666
S  0.151  0.037  0.203
S  0.151  0.614  0.948
S  0.166  0.203  0.552
S  0.166  0.463  0.614
S  0.203  0.151  0.037
S  0.203  0.552  0.166
S  0.297  0.334  0.948
S  0.297  0.463  0.349
S  0.334  0.886  0.037
S  0.334  0.948  0.297
S  0.349  0.297  0.463
S  0.349  0.552  0.886
S  0.386  0.052  0.849
S  0.386  0.834  0.537
S  0.448  0.114  0.651
S  0.448  0.834  0.797
S  0.463  0.349  0.297
S  0.463  0.614  0.166
S  0.537  0.386  0.834
S  0.537  0.651  0.703
S  0.552  0.166  0.203
S  0.552  0.886  0.349
S  0.614  0.166  0.463
S  0.614  0.948  0.151
S  0.651  0.448  0.114
S  0.651  0.703  0.537
S  0.666  0.052  0.703
S  0.666  0.114  0.963
S  0.703  0.537  0.651
S  0.703  0.666  0.052
S  0.797  0.448  0.834
S  0.797  0.849  0.963
S  0.834  0.537  0.386
S  0.834  0.797  0.448
S  0.849  0.386  0.052
S  0.849  0.963  0.797
S  0.886  0.037  0.334
S  0.886  0.349  0.552
S  0.948  0.151  0.614
S  0.948  0.297  0.334
S  0.963  0.666  0.114
S  0.963  0.797  0.849

## Properties
* E: -96.054 eV per formula unit

Number 1: size of the total moment 0.00 μB/cell. Number 2: size of the total moment 0.00 μB/cell.